This record from Alexandria via LeMat-Bulk describes a geometry-optimized TmThNiRh structure. The functional is PBE-GGA.

- ρ (Mg/m³) = 11.20
- formation energy from the elements (kcal/mol of atoms) = -13.675
- relative energy among the computed polymorphs (kJ/mol of formula units) = 44
- uncorrected energy (eV per cell) = -109.585
- total moment (μB/cell) = 0.0
- volume (Å³ per atom) = 20.9

abc: 6.937 6.937 6.937
angles: 90.00 90.00 90.00
Space group F-43m (No. 216)
Symmetry-distinct sites (fractional):
Tm1 0.000 0.000 0.000 x4
Th1 0.000 0.000 0.500 x4
Ni1 0.250 0.250 0.750 x4
Rh1 0.250 0.250 0.250 x4